Entry 1:
Computed, not measured: a relaxed structure of GeHO at the PBE level of DFT.

a = 5.1036 Å, b = 5.9587 Å, c = 4.9737 Å
α = 90.00°, β = 90.00°, γ = 124.66°
With the nearest neighbours (Å) after each atom.
Sites, in units of the cell vectors:
O  0.5310  0.3841  0.6970  3 Ge 1.93-2.04
O  0.4690  0.1159  0.1970  3 Ge 1.93-2.04
O  0.4690  0.6159  0.3030  3 Ge 1.93-2.04
O  0.5310  0.8841  0.8030  3 Ge 1.93-2.04
H  0.9943  0.8175  0.8872  1 Ge 1.65
H  0.9943  0.3175  0.6128  1 Ge 1.65
H  0.0057  0.1825  0.1128  1 Ge 1.65
H  0.0057  0.6825  0.3872  1 Ge 1.65
Ge  0.7738  0.2701  0.8787  1 H 1.65
Ge  0.7738  0.7701  0.6213  1 H 1.65
Ge  0.2262  0.7299  0.1213  1 H 1.65
Ge  0.2262  0.2299  0.3787  1 H 1.65

- theoretical density (g/cm³) = 4.79
- energy above the lowest structure with this stoichiometry (meV per atom) = 0

---

Entry 2:
Computed, not measured: a relaxed structure of SrV2In at the PBE level of DFT.

a = 4.5359 Å, b = 4.5359 Å, c = 10.6717 Å
α = 77.73°, β = 77.73°, γ = 90.00°
With the nearest neighbours (Å) after each atom.
Sites, in units of the cell vectors:
V  0.8751  0.1250  0.2500  2 V 2.27
V  0.3750  0.1249  0.7500  2 V 2.27
V  0.8749  0.6250  0.2500  2 V 2.27
V  0.8750  0.1251  0.7500  2 V 2.27
In  0.0000  0.0000  0.0000  4 V 2.79
In  0.7500  0.2500  0.5000  4 V 2.79
Sr  0.5000  0.5000  0.0000  4 In 3.21, 4 V 3.59
Sr  0.2500  0.7500  0.5000  4 In 3.21, 4 V 3.59

- theoretical density (g/cm³) = 4.83
- ΔE_f (kJ/mol of formula units) = 287

---

Entry 3:
Computed, not measured: a relaxed structure of RbY2Sn2 at the PBE level of DFT.

a = 5.7317 Å, b = 5.7317 Å, c = 7.2788 Å
α = 66.81°, β = 66.81°, γ = 90.00°
With the nearest neighbours (Å) after each atom.
Sites, in units of the cell vectors:
Sn  0.2500  0.7500  0.5000  4 Y 3.04
Sn  0.7500  0.2500  0.5000  4 Y 3.04
Y  0.3340  0.3340  0.3321  4 Sn 3.04
Y  0.6660  0.6660  0.6679  4 Sn 3.04
Rb  0.0000  0.0000  0.0000  10 Y 4.04-4.52, 8 Sn 4.17

- theoretical density (g/cm³) = 4.19
- ΔE_f (kJ/mol of formula units) = -73
- energy above the lowest structure with this stoichiometry (meV per atom) = 302

---

Among the records above, which one has the highest theoretical density? SrV2In

---

Repeat the first record exactly.
Computed, not measured: a relaxed structure of GeHO at the PBE level of DFT.

a = 5.1036 Å, b = 5.9587 Å, c = 4.9737 Å
α = 90.00°, β = 90.00°, γ = 124.66°
With the nearest neighbours (Å) after each atom.
Sites, in units of the cell vectors:
O  0.5310  0.3841  0.6970  3 Ge 1.93-2.04
O  0.4690  0.1159  0.1970  3 Ge 1.93-2.04
O  0.4690  0.6159  0.3030  3 Ge 1.93-2.04
O  0.5310  0.8841  0.8030  3 Ge 1.93-2.04
H  0.9943  0.8175  0.8872  1 Ge 1.65
H  0.9943  0.3175  0.6128  1 Ge 1.65
H  0.0057  0.1825  0.1128  1 Ge 1.65
H  0.0057  0.6825  0.3872  1 Ge 1.65
Ge  0.7738  0.2701  0.8787  1 H 1.65
Ge  0.7738  0.7701  0.6213  1 H 1.65
Ge  0.2262  0.7299  0.1213  1 H 1.65
Ge  0.2262  0.2299  0.3787  1 H 1.65

- theoretical density (g/cm³) = 4.79
- energy above the lowest structure with this stoichiometry (meV per atom) = 0

---

The lowest theoretical density belongs to which entry? RbY2Sn2

---

What is the theoretical density in the third record? 4.19 g/cm³